Entry 1:
HfZn2P2: relaxed, PBE.

Values from the calculation:
**ρ**: 7.12 g/cm3
**Formation energy**: -0.22 eV/atom

Unit cell a=7.499 b=7.499 c=7.499 alpha=153.03 beta=153.03 gamma=38.51
Fractional coordinates of all 5 atoms:
Hf  0.000  0.000  0.000
Zn  0.250  0.750  0.500
Zn  0.750  0.250  0.500
P  0.415  0.415  0.000
P  0.585  0.585  0.000

---

Entry 2:
Hf2ZnP2: relaxed, PBE.

Values from the calculation:
**ρ**: 9.07 g/cm3
**Formation energy**: -0.67 eV/atom

Unit cell a=7.226 b=7.226 c=3.398 alpha=90.00 beta=90.00 gamma=90.00
Fractional coordinates of all 10 atoms:
Hf  0.150  0.350  0.000
Hf  0.350  0.850  0.000
Hf  0.650  0.150  0.000
Hf  0.850  0.650  0.000
Zn  0.000  0.000  0.000
Zn  0.500  0.500  0.000
P  0.146  0.646  0.500
P  0.354  0.146  0.500
P  0.646  0.854  0.500
P  0.854  0.354  0.500

---

Entry 3:
Hf2ZnP2: relaxed, PBE.

Values from the calculation:
**ρ**: 9.50 g/cm3
**Formation energy**: -0.73 eV/atom

Unit cell a=7.053 b=7.053 c=3.404 alpha=90.00 beta=90.00 gamma=90.00
Fractional coordinates of all 10 atoms:
Hf  0.151  0.349  0.000
Hf  0.349  0.849  0.000
Hf  0.651  0.151  0.000
Hf  0.849  0.651  0.000
Zn  0.000  0.000  0.500
Zn  0.500  0.500  0.500
P  0.146  0.646  0.500
P  0.354  0.146  0.500
P  0.646  0.854  0.500
P  0.854  0.354  0.500

---

Entry 4:
Hf6ZnP: relaxed, PBE.

Values from the calculation:
**ρ**: 11.43 g/cm3
**Formation energy**: -0.06 eV/atom

Unit cell a=5.985 b=5.985 c=6.116 alpha=103.73 beta=103.73 gamma=118.93
Fractional coordinates of all 8 atoms:
Hf  0.031  0.438  0.247
Hf  0.237  0.237  0.763
Hf  0.438  0.031  0.247
Hf  0.562  0.969  0.753
Hf  0.763  0.763  0.237
Hf  0.969  0.562  0.753
Zn  0.500  0.500  0.500
P  0.000  0.000  0.000

---

Entry 5:
HfZnP3: relaxed, PBE.

Values from the calculation:
**Energy above the most stable polymorph in this dataset**: 213 meV/atom
**ρ**: 5.98 g/cm3
**Formation energy**: 0.67 eV/atom

Unit cell a=4.539 b=4.539 c=4.539 alpha=90.00 beta=90.00 gamma=90.00
Fractional coordinates of all 5 atoms:
Hf  0.000  0.000  0.000
Zn  0.500  0.500  0.500
P  0.000  0.500  0.500
P  0.500  0.000  0.500
P  0.500  0.500  0.000

---

Entry 6:
HfZn2P2: relaxed, PBE.

Values from the calculation:
**ρ**: 7.46 g/cm3
**Formation energy**: -0.24 eV/atom

Unit cell a=6.821 b=6.821 c=3.550 alpha=90.00 beta=90.00 gamma=90.00
Fractional coordinates of all 10 atoms:
Hf  0.000  0.000  0.000
Hf  0.500  0.500  0.000
Zn  0.149  0.351  0.500
Zn  0.351  0.851  0.500
Zn  0.649  0.149  0.500
Zn  0.851  0.649  0.500
P  0.156  0.656  0.000
P  0.344  0.156  0.000
P  0.656  0.844  0.000
P  0.844  0.344  0.000

---

Entry 7:
Hf2ZnP: relaxed, PBE.

Values from the calculation:
**ρ**: 10.00 g/cm3
**Formation energy**: -0.34 eV/atom

Unit cell a=5.848 b=5.848 c=5.848 alpha=104.77 beta=104.77 gamma=119.34
Fractional coordinates of all 8 atoms:
Hf  0.109  0.125  0.484
Hf  0.375  0.891  0.016
Hf  0.641  0.625  0.516
Hf  0.875  0.359  0.984
Zn  0.250  0.750  0.500
Zn  0.500  0.500  0.000
P  0.000  0.000  0.000
P  0.750  0.250  0.500

---

Entry 8:
HfZr2P3: relaxed, PBE.

Values from the calculation:
**ρ**: 6.83 g/cm3
**Formation energy**: -1.30 eV/atom

Unit cell a=12.357 b=11.792 c=6.464 alpha=79.37 beta=69.69 gamma=30.94
Fractional coordinates of all 24 atoms:
Hf  0.042  0.042  0.208
Hf  0.208  0.208  0.042
Hf  0.792  0.792  0.958
Hf  0.958  0.958  0.792
Zr  0.126  0.126  0.624
Zr  0.293  0.293  0.457
Zr  0.376  0.376  0.874
Zr  0.457  0.457  0.293
Zr  0.543  0.543  0.707
Zr  0.624  0.624  0.126
Zr  0.707  0.707  0.543
Zr  0.874  0.874  0.376
P  0.041  0.541  0.206
P  0.121  0.629  0.629
P  0.206  0.713  0.041
P  0.287  0.794  0.459
P  0.371  0.879  0.879
P  0.459  0.959  0.287
P  0.541  0.041  0.713
P  0.629  0.121  0.121
P  0.713  0.206  0.541
P  0.794  0.287  0.959
P  0.879  0.371  0.371
P  0.959  0.459  0.794

---

Entry 9:
HfZrP2: relaxed, PBE.

Values from the calculation:
**Energy above the most stable polymorph in this dataset**: 29 meV/atom
**ρ**: 7.54 g/cm3
**Formation energy**: -1.29 eV/atom

Unit cell a=3.729 b=3.729 c=5.251 alpha=90.00 beta=90.00 gamma=90.00
Fractional coordinates of all 4 atoms:
Hf  0.000  0.000  0.000
Zr  0.500  0.500  0.500
P  0.000  0.000  0.500
P  0.500  0.500  0.000

---

Entry 10:
Hf3ZrP: relaxed, PBE.

Values from the calculation:
**Energy above the most stable polymorph in this dataset**: 227 meV/atom
**ρ**: 9.54 g/cm3
**Formation energy**: -0.24 eV/atom

Unit cell a=4.855 b=4.855 c=4.855 alpha=90.00 beta=90.00 gamma=90.00
Fractional coordinates of all 5 atoms:
Hf  0.000  0.000  0.500
Hf  0.000  0.500  0.000
Hf  0.500  0.000  0.000
Zr  0.500  0.500  0.500
P  0.000  0.000  0.000

---

Entry 11:
Hf3Zr4P8: relaxed, PBE.

Values from the calculation:
**ρ**: 6.60 g/cm3
**Formation energy**: -1.20 eV/atom

Unit cell a=7.419 b=7.419 c=7.418 alpha=119.97 beta=119.97 gamma=90.02
Fractional coordinates of all 15 atoms:
Hf  0.000  0.000  0.000
Hf  0.000  0.500  0.500
Hf  0.500  0.000  0.500
Zr  0.000  0.000  0.500
Zr  0.000  0.500  0.000
Zr  0.500  0.000  0.000
Zr  0.500  0.500  0.000
P  0.249  0.751  0.000
P  0.255  0.255  0.013
P  0.255  0.255  0.497
P  0.256  0.744  0.500
P  0.744  0.256  0.500
P  0.745  0.745  0.503
P  0.745  0.745  0.987
P  0.751  0.249  0.000

---

Entry 12:
Hf2ZrP: relaxed, PBE.

Values from the calculation:
**ρ**: 10.19 g/cm3
**Formation energy**: -0.80 eV/atom

Unit cell a=5.503 b=5.503 c=8.314 alpha=90.00 beta=90.00 gamma=141.67
Fractional coordinates of all 8 atoms:
Hf  0.138  0.862  0.544
Hf  0.138  0.862  0.956
Hf  0.862  0.138  0.044
Hf  0.862  0.138  0.456
Zr  0.439  0.561  0.750
Zr  0.561  0.439  0.250
P  0.269  0.731  0.250
P  0.731  0.269  0.750